# KFeF5 PBE+U relaxed
data_KFeF5
_chemical_formula_sum 'K2 Fe2 F10'
_space_group_name_H-M_alt 'P 1'
_space_group_IT_number 1
_cell_length_a 5.8222
_cell_length_b 5.8222
_cell_length_c 7.6258
_cell_angle_alpha 94.58
_cell_angle_beta 94.58
_cell_angle_gamma 113.49
loop_
_space_group_symop_operation_xyz
'x,y,z'
loop_
_atom_site_label
_atom_site_type_symbol
_atom_site_fract_x
_atom_site_fract_y
_atom_site_fract_z
K1 K 0.1502 0.8498 0.7500
K2 K 0.8498 0.1502 0.2500
Fe1 Fe 0.5000 0.5000 0.0000
Fe2 Fe 0.5000 0.5000 0.5000
F1 F 0.1756 0.2695 0.9849
F2 F 0.2515 0.5930 0.4252
F3 F 0.2695 0.1756 0.4849
F4 F 0.4070 0.7485 0.0748
F5 F 0.4326 0.5674 0.7500
F6 F 0.5674 0.4326 0.2500
F7 F 0.5930 0.2515 0.9252
F8 F 0.7305 0.8244 0.5151
F9 F 0.7485 0.4070 0.5748
F10 F 0.8244 0.7305 0.0151
# E: -4.596 eV per atom
# Space-group type: C2/c, No. 15